# Al2RhAu GGA-PBE relaxed
# - VASP energy: -5.20 eV per atom
# - Formation energy: -2.67 eV per formula unit
# - Space group: No. 6
# - DOS(E_F): 1.50 states/eV/cell
data_Al2RhAu
_chemical_formula_sum 'Al2 Rh1 Au1'
_symmetry_space_group_name_H-M 'P 1'
_symmetry_Int_Tables_number 1
_symmetry_space_group_name_Hall 'P 1'
_cell_length_a 3.066
_cell_length_b 2.947
_cell_length_c 7.114
_cell_angle_alpha 90.00
_cell_angle_beta 102.66
_cell_angle_gamma 90.00
loop_
_atom_site_label
_atom_site_type_symbol
_atom_site_fract_x
_atom_site_fract_y
_atom_site_fract_z
Rh1 Rh 0.091 0.500 0.150
Au1 Au 0.322 0.500 0.608
Al1 Al 0.479 0.000 0.930
Al2 Al 0.699 0.000 0.363